The following is a GGA+U calculation of TaAlCoF2 after structural relaxation, from the Alexandria database.

Calculated values
VASP energy ... -5.546 eV per atom
M_tot ... 3.05 μB/f.u.

Cell: 4.0045 4.0045 5.5994 Å, 90.00 90.00 90.00°
Space group P4/mmm (No. 123)
Unique sites:
Ta 0.0000 0.0000 0.0000 x1
Al 0.0000 0.0000 0.5000 x1
Co 0.5000 0.5000 0.5000 x1
F 0.0000 0.5000 0.0000 x2